# 1
The following is a DFT calculation (PBE) of a relaxed ReSiBAu2 crystal.

a b c (Å): 5.0946 5.0946 3.9999
angles (deg): 90.00 90.00 90.00
Last column: nearest neighbours and their distance in Å.
Space group P4/mmm (No. 123)
One atom of each set of equivalent atoms:
Re (0.0000, 0.0000, 0.0000) [1 per cell]  2 B 2.00
Si (0.5000, 0.5000, 0.5000) [1 per cell]  8 Au 3.24, 4 B 3.60
B (0.0000, 0.0000, 0.5000) [1 per cell]  2 Re 2.00
Au (0.0000, 0.5000, 0.0000) [2 per cell]  2 Re 2.55

Results
Raw total energy = -0.3565 Ry per atom
Crystal system = tetragonal
M_tot = 0.00 μB per atom
N(E_F) = 2.6 states/eV/cell
Density = 9.901 Mg/m³
Energy relative to the elements, uncorrected = 1371 meV/atom

=====

# 2
The following is a DFT calculation (PBE) of a relaxed ZrZn4Pb crystal.

a b c (Å): 7.6338 7.6338 7.6338
angles (deg): 90.00 90.00 90.00
Last column: nearest neighbours and their distance in Å.
Space group F-43m (No. 216)
One atom of each set of equivalent atoms:
Zr (0.0000, 0.0000, 0.0000) [4 per cell]  12 Zn 3.16, 4 Pb 3.31
Zn (0.1267, 0.1267, 0.3733) [16 per cell]  6 Zn 2.66-2.74
Pb (0.2500, 0.2500, 0.7500) [4 per cell]  12 Zn 3.17, 4 Zr 3.31

Results
Raw total energy = -0.2085 Ry per atom
Crystal system = cubic
ΔE_f = 0.055 eV/atom
M_tot = 0.24 μB per atom
N(E_F) = 20.1 states/eV/cell
Density = 8.362 Mg/m³

=====

# 3
The following is a DFT calculation (PBE) of a relaxed In2CuNiPb crystal.

a b c (Å): 4.8972 4.8972 4.7912
angles (deg): 90.00 90.00 90.00
Last column: nearest neighbours and their distance in Å.
Space group P4/mmm (No. 123)
One atom of each set of equivalent atoms:
In (0.0000, 0.5000, 0.0000) [2 per cell]  2 Ni 2.45
Cu (0.0000, 0.0000, 0.5000) [1 per cell]  2 Ni 2.40
Ni (0.0000, 0.0000, 0.0000) [1 per cell]  2 Cu 2.40, 4 In 2.45
Pb (0.5000, 0.5000, 0.5000) [1 per cell]  8 In 3.43, 4 Cu 3.46

Results
Raw total energy = -0.2642 Ry per atom
Crystal system = tetragonal
ΔE_f = 0.218 eV/atom
M_tot = 0.00 μB per atom
N(E_F) = 2.3 states/eV/cell
Density = 8.079 Mg/m³

=====

# 4
The following is a DFT calculation (PBE) of a relaxed MgSc2In crystal.

a b c (Å): 7.1673 7.1673 7.1673
angles (deg): 90.00 90.00 90.00
Last column: nearest neighbours and their distance in Å.
Space group F-43m (No. 216)
One atom of each set of equivalent atoms:
Mg (0.0000, 0.0000, 0.0000) [4 per cell]  4 In 3.10, 4 Sc 3.10
Sc (0.0000, 0.0000, 0.5000) [4 per cell]  4 In 3.10, 4 Sc 3.10
Sc (0.2500, 0.2500, 0.2500) [4 per cell]  4 Mg 3.10, 4 Sc 3.10
In (0.2500, 0.2500, 0.7500) [4 per cell]  4 Mg 3.10, 4 Sc 3.10

Results
Raw total energy = -0.3156 Ry per atom
Crystal system = cubic
ΔE_f = -0.045 eV/atom
M_tot = 0.00 μB per atom
N(E_F) = 20.1 states/eV/cell
Density = 4.132 Mg/m³

=====

# 5
The following is a DFT calculation (PBE) of a relaxed Tm2Sc2Ni15 crystal.

a b c (Å): 8.4069 8.4069 12.4596
angles (deg): 90.00 90.00 120.00
Last column: nearest neighbours and their distance in Å.
Space group R-3m (No. 166, hexagonal axes)
One atom of each set of equivalent atoms:
Tm (0.0000, 0.0000, 0.1134) [6 per cell]  6 Ni 2.52-2.65
Sc (0.0000, 0.0000, 0.3672) [6 per cell]  12 Ni 2.79-2.92
Ni (0.0000, 0.3170, 0.0000) [18 per cell]  8 Ni 2.47-2.67
Ni (0.0000, 0.5000, 0.5000) [9 per cell]  8 Ni 2.47-2.48, 2 Tm 2.52
Ni (0.0147, 0.5074, 0.1576) [18 per cell]  8 Ni 2.33-2.57

Results
Raw total energy = -0.4364 Ry per atom
Crystal system = trigonal
ΔE_f = -0.236 eV/atom
M_tot = 0.13 μB per atom
N(E_F) = 73.8 states/eV/cell
Density = 8.545 Mg/m³

=====

# 6
The following is a DFT calculation (PBE) of a relaxed AlHgOs2 crystal.

a b c (Å): 2.8771 4.7749 9.3928
angles (deg): 90.00 90.00 90.00
Last column: nearest neighbours and their distance in Å.
Space group Cmmm (No. 65)
One atom of each set of equivalent atoms:
Al (0.0000, 0.0000, 0.0000) [2 per cell]  4 Os 2.51, 4 Al 2.79
Hg (0.0000, 0.0000, 0.5000) [2 per cell]  6 Hg 2.79-2.88, 4 Os 3.01
Os (0.0000, 0.5000, 0.2186) [4 per cell]  2 Al 2.51, 4 Os 2.79

Results
Raw total energy = -0.4558 Ry per atom
Crystal system = orthorhombic
ΔE_f = 0.424 eV/atom
M_tot = 0.00 μB per atom
N(E_F) = 5.3 states/eV/cell
Density = 15.649 Mg/m³

=====

# 7
The following is a DFT calculation (PBE) of a relaxed Sm6GaGe2Te3 crystal.

a b c (Å): 19.1834 4.3070 8.8403
angles (deg): 90.00 105.63 90.00
Last column: nearest neighbours and their distance in Å.
Space group C2/m (No. 12)
One atom of each set of equivalent atoms:
Sm (0.0052, 0.0000, 0.2444) [4 per cell]  1 Ge 2.97, 2 Ga 3.03, 3 Te 3.14-3.19
Sm (0.1635, 0.5000, 0.0974) [4 per cell]  2 Ge 2.98, 1 Ga 3.02, 3 Te 3.14-3.20
Sm (0.1728, 0.5000, 0.5668) [4 per cell]  3 Ge 2.97-2.98, 3 Te 3.20-3.21
Ga (0.0000, 0.5000, 0.0000) [2 per cell]  6 Sm 3.02-3.03
Ge (0.1660, 0.0000, 0.3313) [4 per cell]  6 Sm 2.97-2.98
Te (0.0000, 0.5000, 0.5000) [2 per cell]  6 Sm 3.14-3.21
Te (0.1668, 0.0000, 0.8313) [4 per cell]  6 Sm 3.14-3.20

Results
Raw total energy = -0.3886 Ry per atom
Crystal system = monoclinic
M_tot = 0.00 μB per atom
N(E_F) = 14.6 states/eV/cell
Density = 7.082 Mg/m³
Energy relative to the elements, uncorrected = -1120 meV/atom

=====

# 8
The following is a DFT calculation (PBE) of a relaxed ZrReGe2 crystal.

a b c (Å): 3.9743 3.9743 18.8941
angles (deg): 90.00 90.00 90.00
Last column: nearest neighbours and their distance in Å.
Space group I-42d (No. 122)
One atom of each set of equivalent atoms:
Zr (0.0000, 0.0000, 0.0000) [4 per cell]  4 Ge 2.79, 4 Re 2.81
Re (0.0000, 0.0000, 0.5000) [4 per cell]  4 Ge 2.71, 4 Zr 2.81
Ge (0.2237, 0.2500, 0.6250) [8 per cell]  4 Ge 2.67-2.96, 2 Re 2.71, 2 Zr 2.79

Results
Raw total energy = -0.5407 Ry per atom
Crystal system = tetragonal
ΔE_f = 0.201 eV/atom
M_tot = 0.00 μB per atom
N(E_F) = 13.1 states/eV/cell
Density = 9.408 Mg/m³